Computed, not measured: crystalline BeV3F at its relaxed geometry at the PBE with a Hubbard U level of DFT.

Cell: 4.3171 4.3171 4.3171 Å, 90.00 90.00 90.00°
Site moments in Bohr magnetons follow the coordinates.
Positions (direct):
Be 0.5000 0.5000 0.5000  -0.14
V 0.0000 0.5000 0.0000  2.62
V 0.0000 0.0000 0.5000  2.62
V 0.5000 0.0000 0.0000  2.62
F 0.0000 0.0000 0.0000  0.05

## Properties
Energy above the most stable polymorph in this dataset = 0 meV/atom
Total magnetic moment = 8.39 μB per formula unit
Symmetry = No. 221